# 1
A plane-wave DFT calculation with SCAN was carried out for a PBEsol-optimized structure of YOsRu.

Computed properties:
Electronic total energy (eV per atom): -45.01
Calculated formation energy (meV per atom): -162.6
Symmetry: No. 187
Total moment (μB per cell): 0.0

Lattice parameters (Å, degrees): 4.118 4.118 4.166 90.00 90.00 120.00
Sites, in units of the cell vectors:
Y: 0.000 0.000 0.000
Os: 0.333 0.667 0.500
Ru: 0.667 0.333 0.500


# 2
A plane-wave DFT calculation with SCAN was carried out for a PBEsol-optimized structure of YOs2Ru.

Computed properties:
Electronic total energy (eV per atom): -51.27
Calculated formation energy (meV per atom): 333.9
Symmetry: No. 123
Total moment (μB per cell): 0.0

Lattice parameters (Å, degrees): 3.935 3.935 4.135 90.00 90.00 90.00
Sites, in units of the cell vectors:
Y: 0.000 0.000 0.000
Os: 0.000 0.500 0.500
Os: 0.500 0.000 0.500
Ru: 0.500 0.500 0.000


# 3
A plane-wave DFT calculation with SCAN was carried out for a PBEsol-optimized structure of YOs2Ru.

Computed properties:
Electronic total energy (eV per atom): -51.29
Calculated formation energy (meV per atom): 316.3
Symmetry: No. 47
Total moment (μB per cell): 0.0

Lattice parameters (Å, degrees): 2.987 4.543 4.697 90.00 90.00 90.00
Sites, in units of the cell vectors:
Y: 0.000 0.000 0.000
Os: 0.000 0.500 0.500
Os: 0.500 0.000 0.500
Ru: 0.500 0.500 0.000


# 4
A plane-wave DFT calculation with SCAN was carried out for a PBEsol-optimized structure of ZnOs2Ru.

Computed properties:
Electronic total energy (eV per atom): -47.60
Calculated formation energy (meV per atom): 429.6
Symmetry: No. 47
Total moment (μB per cell): 0.0

Lattice parameters (Å, degrees): 2.809 4.427 4.453 90.00 90.00 90.00
Sites, in units of the cell vectors:
Zn: 0.000 0.000 0.000
Os: 0.000 0.500 0.500
Os: 0.500 0.000 0.500
Ru: 0.500 0.500 0.000


# 5
A plane-wave DFT calculation with SCAN was carried out for a PBEsol-optimized structure of ZnOsRu3.

Computed properties:
Electronic total energy (eV per atom): -36.24
Calculated formation energy (meV per atom): 1733.8
Symmetry: No. 221
Total moment (μB per cell): 1.7

Lattice parameters (Å, degrees): 4.600 4.600 4.600 90.00 90.00 90.00
Sites, in units of the cell vectors:
Zn: 0.000 0.000 0.000
Os: 0.500 0.500 0.500
Ru: 0.000 0.500 0.500
Ru: 0.500 0.000 0.500
Ru: 0.500 0.500 0.000


# 6
A plane-wave DFT calculation with SCAN was carried out for a PBEsol-optimized structure of ZnOs2Ru.

Computed properties:
Electronic total energy (eV per atom): -47.59
Calculated formation energy (meV per atom): 437.2
Symmetry: No. 65
Total moment (μB per cell): 3.5

Lattice parameters (Å, degrees): 2.738 4.578 8.936 90.00 90.00 90.00
Sites, in units of the cell vectors:
Zn: 0.000 0.000 0.000
Zn: 0.500 0.500 0.000
Os: 0.000 0.500 0.249
Os: 0.000 0.500 0.751
Os: 0.500 0.000 0.249
Os: 0.500 0.000 0.751
Ru: 0.000 0.000 0.500
Ru: 0.500 0.500 0.500


# 7
A plane-wave DFT calculation with SCAN was carried out for a PBEsol-optimized structure of ZrOsRu2.

Computed properties:
Electronic total energy (eV per atom): -43.13
Calculated formation energy (meV per atom): -74.6
Symmetry: No. 12
Total moment (μB per cell): 0.0

Lattice parameters (Å, degrees): 9.147 2.831 4.811 90.00 100.88 90.00
Sites, in units of the cell vectors:
Zr: 0.000 0.000 0.000
Zr: 0.500 0.500 0.000
Os: 0.000 0.500 0.500
Os: 0.500 0.000 0.500
Ru: 0.240 0.000 0.719
Ru: 0.260 0.500 0.281
Ru: 0.740 0.500 0.719
Ru: 0.760 0.000 0.281


# 8
A plane-wave DFT calculation with SCAN was carried out for a PBEsol-optimized structure of ZrOsRu2.

Computed properties:
Electronic total energy (eV per atom): -43.10
Calculated formation energy (meV per atom): -47.0
Symmetry: No. 25
Total moment (μB per cell): 0.0

Lattice parameters (Å, degrees): 2.807 3.814 5.713 90.00 90.00 90.00
Sites, in units of the cell vectors:
Zr: 0.000 0.000 0.000
Os: 0.500 0.500 0.288
Ru: 0.000 0.000 0.497
Ru: 0.500 0.500 0.736


# 9
A plane-wave DFT calculation with SCAN was carried out for a PBEsol-optimized structure of ZrOsRu2.

Computed properties:
Electronic total energy (eV per atom): -43.12
Calculated formation energy (meV per atom): -58.1
Symmetry: No. 10
Total moment (μB per cell): 0.0

Lattice parameters (Å, degrees): 4.700 2.830 4.772 90.00 108.52 90.00
Sites, in units of the cell vectors:
Zr: 0.000 0.000 0.000
Os: 0.000 0.500 0.500
Ru: 0.500 0.000 0.500
Ru: 0.500 0.500 0.000


# 10
A plane-wave DFT calculation with SCAN was carried out for a PBEsol-optimized structure of ZrOsRu2.

Computed properties:
Electronic total energy (eV per atom): -43.14
Calculated formation energy (meV per atom): -86.8
Symmetry: No. 65
Total moment (μB per cell): 0.0

Lattice parameters (Å, degrees): 5.601 7.535 2.842 90.00 90.00 90.00
Sites, in units of the cell vectors:
Zr: 0.000 0.000 0.000
Zr: 0.500 0.500 0.000
Os: 0.000 0.500 0.000
Os: 0.500 0.000 0.000
Ru: 0.250 0.250 0.500
Ru: 0.250 0.750 0.500
Ru: 0.750 0.250 0.500
Ru: 0.750 0.750 0.500


# 11
A plane-wave DFT calculation with SCAN was carried out for a PBEsol-optimized structure of OsS2.

Computed properties:
Electronic total energy (eV per atom): -30.85
ΔE_f (raw) (eV/atom): -0.472
Symmetry: No. 205
Total moment (μB per cell): 0.0

Lattice parameters (Å, degrees): 5.601 5.601 5.601 90.00 90.00 90.00
Sites, in units of the cell vectors:
Os: 0.000 0.000 0.000
Os: 0.000 0.500 0.500
Os: 0.500 0.000 0.500
Os: 0.500 0.500 0.000
S: 0.116 0.616 0.884
S: 0.116 0.884 0.384
S: 0.384 0.116 0.884
S: 0.384 0.384 0.384
S: 0.616 0.616 0.616
S: 0.616 0.884 0.116
S: 0.884 0.116 0.616
S: 0.884 0.384 0.116


# 12
A plane-wave DFT calculation with SCAN was carried out for a PBEsol-optimized structure of Sb3OsS.

Computed properties:
Electronic total energy (eV per atom): -37.10
ΔE_f (raw) (eV/atom): 1.554
Symmetry: No. 221
Total moment (μB per cell): 0.0

Lattice parameters (Å, degrees): 4.894 4.894 4.894 90.00 90.00 90.00
Sites, in units of the cell vectors:
Sb: 0.000 0.000 0.500
Sb: 0.000 0.500 0.000
Sb: 0.500 0.000 0.000
Os: 0.500 0.500 0.500
S: 0.000 0.000 0.000